{"formula": "CdSi3Os", "functional": "meta-GGA SCAN", "state": "single point on PBEsol structure", "e_form_raw_ev_per_atom": 0.557, "space_group": "Pm-3m (221)", "total_energy_ev_per_atom": -25.911, "crystal_system": "cubic", "lattice_angstrom": [[4.656, 0.000, 0.000], [0.000, 4.656, 0.000], [0.000, 0.000, 4.656]], "species": ["Cd", "Si", "Si", "Si", "Os"], "frac_coords": [[0.000, 0.000, 0.000], [0.000, 0.500, 0.500], [0.500, 0.000, 0.500], [0.500, 0.500, 0.000], [0.500, 0.500, 0.500]]}



{"formula": "SrCdOs3", "functional": "meta-GGA SCAN", "state": "single point on PBEsol structure", "space_group": "Pm-3m (221)", "total_energy_ev_per_atom": -50.020, "crystal_system": "cubic", "lattice_angstrom": [[4.785, 0.000, 0.000], [0.000, 4.785, 0.000], [0.000, 0.000, 4.785]], "species": ["Sr", "Cd", "Os", "Os", "Os"], "frac_coords": [[0.000, 0.000, 0.000], [0.500, 0.500, 0.500], [0.000, 0.000, 0.500], [0.000, 0.500, 0.000], [0.500, 0.000, 0.000]]}



{"formula": "TaCdOs2", "functional": "meta-GGA SCAN", "state": "single point on PBEsol structure", "space_group": "Imm2 (44)", "total_energy_ev_per_atom": -59.890, "crystal_system": "orthorhombic", "lattice_angstrom": [[-1.601, 2.204, 4.518], [1.601, -2.204, 4.518], [1.601, 2.204, -4.518]], "species": ["Ta", "Cd", "Os", "Os"], "frac_coords": [[0.000, 0.000, 0.000], [0.265, 0.765, 0.500], [0.521, 0.521, 0.000], [0.767, 0.267, 0.500]]}



{"formula": "TaCd3Os", "functional": "meta-GGA SCAN", "state": "single point on PBEsol structure", "space_group": "Pm-3m (221)", "total_energy_ev_per_atom": -44.196, "crystal_system": "cubic", "lattice_angstrom": [[4.995, 0.000, 0.000], [0.000, 4.995, 0.000], [0.000, 0.000, 4.995]], "species": ["Ta", "Cd", "Cd", "Cd", "Os"], "frac_coords": [[0.000, 0.000, 0.000], [0.000, 0.500, 0.500], [0.500, 0.000, 0.500], [0.500, 0.500, 0.000], [0.500, 0.500, 0.500]]}



{"formula": "TaCdOs", "functional": "meta-GGA SCAN", "state": "single point on PBEsol structure", "space_group": "Fmm2 (42)", "total_energy_ev_per_atom": -56.022, "crystal_system": "orthorhombic", "lattice_angstrom": [[0.000, 2.341, 7.104], [1.536, 0.000, 7.104], [1.536, 2.341, 0.000]], "species": ["Ta", "Cd", "Os"], "frac_coords": [[0.000, 0.000, 0.000], [0.680, 0.680, 0.320], [0.352, 0.352, 0.648]]}



{"formula": "TaCdOs2", "functional": "meta-GGA SCAN", "state": "single point on PBEsol structure", "space_group": "P4/mmm (123)", "total_energy_ev_per_atom": -60.163, "crystal_system": "tetragonal", "lattice_angstrom": [[3.164, 0.000, 0.000], [0.000, 3.164, 0.000], [0.000, 0.000, 6.437]], "species": ["Ta", "Cd", "Os", "Os"], "frac_coords": [[0.000, 0.000, 0.000], [0.000, 0.000, 0.500], [0.500, 0.500, 0.232], [0.500, 0.500, 0.768]]}



{"formula": "ZrTaCdOs2", "functional": "meta-GGA SCAN", "state": "single point on PBEsol structure", "space_group": "P4/mmm (123)", "total_energy_ev_per_atom": -51.912, "crystal_system": "tetragonal", "lattice_angstrom": [[4.720, 0.000, 0.000], [0.000, 4.720, 0.000], [0.000, 0.000, 4.779]], "species": ["Zr", "Ta", "Cd", "Os", "Os"], "frac_coords": [[0.000, 0.000, 0.000], [0.500, 0.500, 0.000], [0.000, 0.000, 0.500], [0.000, 0.500, 0.500], [0.500, 0.000, 0.500]]}



{"formula": "CdTc2Os", "functional": "meta-GGA SCAN", "state": "single point on PBEsol structure", "space_group": "Cmmm (65)", "total_energy_ev_per_atom": -42.569, "crystal_system": "orthorhombic", "lattice_angstrom": [[2.708, -3.993, 0.000], [2.708, 3.993, 0.000], [0.000, 0.000, 2.755]], "species": ["Cd", "Tc", "Tc", "Os"], "frac_coords": [[0.000, 0.000, 0.000], [0.000, 0.500, 0.500], [0.500, 0.000, 0.500], [0.500, 0.500, 0.000]]}



{"formula": "CdTcOs", "functional": "meta-GGA SCAN", "state": "single point on PBEsol structure", "space_group": "F-43m (216)", "total_energy_ev_per_atom": -44.944, "crystal_system": "cubic", "lattice_angstrom": [[0.000, 2.997, 2.997], [2.997, 0.000, 2.997], [2.997, 2.997, 0.000]], "species": ["Cd", "Tc", "Os"], "frac_coords": [[0.000, 0.000, 0.000], [0.750, 0.750, 0.750], [0.500, 0.500, 0.500]]}



{"formula": "CdTcOs3", "functional": "meta-GGA SCAN", "state": "single point on PBEsol structure", "space_group": "Pm-3m (221)", "total_energy_ev_per_atom": -52.763, "crystal_system": "cubic", "lattice_angstrom": [[4.652, 0.000, 0.000], [0.000, 4.652, 0.000], [0.000, 0.000, 4.652]], "species": ["Cd", "Tc", "Os", "Os", "Os"], "frac_coords": [[0.000, 0.000, 0.000], [0.500, 0.500, 0.500], [0.000, 0.000, 0.500], [0.000, 0.500, 0.000], [0.500, 0.000, 0.000]]}



{"formula": "CdTeOs2", "functional": "meta-GGA SCAN", "state": "single point on PBEsol structure", "e_form_raw_ev_per_atom": 0.823, "space_group": "Fm-3m (225)", "total_energy_ev_per_atom": -52.033, "crystal_system": "cubic", "lattice_angstrom": [[0.000, 3.208, 3.208], [3.208, 0.000, 3.208], [3.208, 3.208, 0.000]], "species": ["Cd", "Te", "Os", "Os"], "frac_coords": [[0.000, 0.000, 0.000], [0.500, 0.500, 0.500], [0.250, 0.250, 0.250], [0.750, 0.750, 0.750]]}



{"formula": "CdTeOs2", "functional": "meta-GGA SCAN", "state": "single point on PBEsol structure", "e_form_raw_ev_per_atom": 1.138, "space_group": "Cmmm (65)", "total_energy_ev_per_atom": -51.718, "crystal_system": "orthorhombic", "lattice_angstrom": [[1.479, -2.486, 0.000], [1.479, 2.486, 0.000], [0.000, 0.000, 9.400]], "species": ["Cd", "Te", "Os", "Os"], "frac_coords": [[0.000, 0.000, 0.000], [0.000, 0.000, 0.500], [0.500, 0.500, 0.250], [0.500, 0.500, 0.750]]}



{"formula": "CdTe2Os", "functional": "meta-GGA SCAN", "state": "single point on PBEsol structure", "e_form_raw_ev_per_atom": 1.068, "space_group": "F-43m (216)", "total_energy_ev_per_atom": -43.131, "crystal_system": "cubic", "lattice_angstrom": [[0.000, 3.476, 3.476], [3.476, 0.000, 3.476], [3.476, 3.476, 0.000]], "species": ["Cd", "Te", "Te", "Os"], "frac_coords": [[0.000, 0.000, 0.000], [0.250, 0.250, 0.250], [0.500, 0.500, 0.500], [0.750, 0.750, 0.750]]}



{"formula": "Cd4TeOs", "functional": "meta-GGA SCAN", "state": "single point on PBEsol structure", "e_form_raw_ev_per_atom": 0.711, "space_group": "F-43m (216)", "total_energy_ev_per_atom": -37.754, "crystal_system": "cubic", "lattice_angstrom": [[0.000, 3.901, 3.901], [3.901, 0.000, 3.901], [3.901, 3.901, 0.000]], "species": ["Cd", "Cd", "Cd", "Cd", "Te", "Os"], "frac_coords": [[0.376, 0.376, 0.376], [0.376, 0.376, 0.873], [0.376, 0.873, 0.376], [0.873, 0.376, 0.376], [0.000, 0.000, 0.000], [0.750, 0.750, 0.750]]}



{"formula": "TlCdOs", "functional": "meta-GGA SCAN", "state": "single point on PBEsol structure", "space_group": "Fmm2 (42)", "total_energy_ev_per_atom": -57.351, "crystal_system": "orthorhombic", "lattice_angstrom": [[0.000, 2.459, 8.332], [1.468, 0.000, 8.332], [1.468, 2.459, 0.000]], "species": ["Tl", "Cd", "Os"], "frac_coords": [[0.000, 0.000, 0.000], [0.296, 0.296, 0.704], [0.652, 0.652, 0.348]]}



{"formula": "TlCdOs", "functional": "meta-GGA SCAN", "state": "single point on PBEsol structure", "space_group": "Imm2 (44)", "total_energy_ev_per_atom": -57.311, "crystal_system": "orthorhombic", "lattice_angstrom": [[-1.429, 2.112, 4.594], [1.429, -2.112, 4.594], [1.429, 2.112, -4.594]], "species": ["Tl", "Cd", "Os"], "frac_coords": [[0.000, 0.000, 0.000], [0.683, 0.683, 0.000], [0.334, 0.334, 0.000]]}



{"formula": "Tl2CdOs", "functional": "meta-GGA SCAN", "state": "single point on PBEsol structure", "space_group": "I-4m2 (119)", "total_energy_ev_per_atom": -60.942, "crystal_system": "tetragonal", "lattice_angstrom": [[-2.083, 2.083, 4.488], [2.083, -2.083, 4.488], [2.083, 2.083, -4.488]], "species": ["Tl", "Tl", "Cd", "Os"], "frac_coords": [[0.000, 0.000, 0.000], [0.750, 0.250, 0.500], [0.500, 0.500, 0.000], [0.250, 0.750, 0.500]]}



{"formula": "Tl2CdOs", "functional": "meta-GGA SCAN", "state": "single point on PBEsol structure", "space_group": "P4mm (99)", "total_energy_ev_per_atom": -61.080, "crystal_system": "tetragonal", "lattice_angstrom": [[3.080, 0.000, 0.000], [0.000, 3.080, 0.000], [0.000, 0.000, 9.007]], "species": ["Tl", "Tl", "Cd", "Os"], "frac_coords": [[0.000, 0.000, 0.000], [0.500, 0.500, 0.312], [0.000, 0.000, 0.595], [0.500, 0.500, 0.791]]}



{"formula": "TlCdOs", "functional": "meta-GGA SCAN", "state": "single point on PBEsol structure", "space_group": "F-43m (216)", "total_energy_ev_per_atom": -56.797, "crystal_system": "cubic", "lattice_angstrom": [[0.000, 3.165, 3.165], [3.165, 0.000, 3.165], [3.165, 3.165, 0.000]], "species": ["Tl", "Cd", "Os"], "frac_coords": [[0.000, 0.000, 0.000], [0.750, 0.750, 0.750], [0.500, 0.500, 0.500]]}



{"formula": "Cd2OsW", "functional": "meta-GGA SCAN", "state": "single point on PBEsol structure", "space_group": "Pmmm (47)", "total_energy_ev_per_atom": -49.800, "crystal_system": "orthorhombic", "lattice_angstrom": [[2.806, 0.000, 0.000], [0.000, 4.520, 0.000], [0.000, 0.000, 5.302]], "species": ["Cd", "Cd", "Os", "W"], "frac_coords": [[0.000, 0.000, 0.249], [0.000, 0.000, 0.751], [0.500, 0.500, 0.000], [0.500, 0.500, 0.500]]}